[1]
First-principles (PBE) data for crystalline SiIr3W at its relaxed geometry, as listed in the Alexandria database.

abc: 4.392 4.392 4.392
angles: 90.00 90.00 90.00
Space group Pm-3m (No. 221)
Symmetry-distinct sites (fractional):
Si1 0.000 0.000 0.000 x1
Ir1 0.000 0.000 0.500 x3
W1 0.500 0.500 0.500 x1

Output
The value obtained for the polymorph energy (0 for the lowest one) is 0 meV/atom. The uncorrected formation energy comes out at 1.007 eV per atom.

---

[2]
First-principles (PBE) data for crystalline SiIrW2 at its relaxed geometry, as listed in the Alexandria database.

abc: 9.852 2.786 4.609
angles: 90.00 110.07 90.00
Space group Cm (No. 8)
Symmetry-distinct sites (fractional):
Si1 0.000 0.000 0.000 x2
Ir1 0.205 0.500 0.317 x2
W1 0.263 0.000 0.854 x2
W2 0.461 0.000 0.481 x2

Output
The uncorrected formation energy comes out at -0.133 eV per atom.

---

[3]
First-principles (PBE) data for crystalline SiIr2W at its relaxed geometry, as listed in the Alexandria database.

abc: 9.092 2.773 4.648
angles: 90.00 96.90 90.00
Space group C2/m (No. 12)
Symmetry-distinct sites (fractional):
Si1 0.000 0.000 0.000 x2
Ir1 0.246 0.000 0.749 x4
W1 0.000 0.500 0.500 x2

Output
The uncorrected formation energy comes out at -0.155 eV per atom.

---

[4]
First-principles (PBE) data for crystalline SiIrW2 at its relaxed geometry, as listed in the Alexandria database.

abc: 2.849 4.520 9.166
angles: 90.00 90.00 90.00
Space group Imm2 (No. 44)
Symmetry-distinct sites (fractional):
Si1 0.000 0.000 0.000 x2
Ir1 0.000 0.500 0.713 x2
W1 0.000 0.000 0.483 x2
W2 0.000 0.500 0.272 x2

Output
The uncorrected formation energy comes out at -0.139 eV per atom.

---

Total DFT energy (no corrections) for the records above, in order: -7.985 -10.181 -9.180 -10.187 eV/atom